{"formula": "LiTl2AsS4", "functional": "PBE-GGA", "state": "optimized geometry", "lattice_angstrom": [[-4.2908, 0.2392, 4.1774], [-6.5492, -0.6171, -2.3925], [-1.5004, -11.9790, 3.4438]], "species": ["S", "S", "S", "S", "S", "S", "S", "S", "Tl", "Tl", "Tl", "Tl", "Li", "Li", "As", "As"], "frac_coords": [[0.5635, 0.2061, 0.0984], [0.3381, 0.7939, 0.0984], [0.8680, 0.7939, 0.9016], [0.4119, 0.7061, 0.4016], [0.5196, 0.2939, 0.5984], [0.8820, 0.7061, 0.5984], [0.1865, 0.2939, 0.4016], [0.2304, 0.2061, 0.9016], [0.1930, 0.0000, 0.6140], [0.9430, 0.5000, 0.1140], [0.5570, 0.5000, 0.8860], [0.8070, 0.0000, 0.3860], [0.7500, 0.5000, 0.5000], [0.0000, 0.0000, 0.0000], [0.2500, 0.5000, 0.5000], [0.5000, 0.0000, 0.0000]], "dos_at_fermi_per_ev_cell": 0.00}


{"formula": "Li2TlAsS4", "functional": "PBE-GGA", "state": "optimized geometry", "lattice_angstrom": [[6.6451, 0.2762, -0.0002], [-0.2760, 6.6451, -0.0002], [-3.1847, -3.4608, 4.2052]], "species": ["S", "S", "S", "S", "As", "Tl", "Li", "Li"], "frac_coords": [[0.5416, 0.5416, 0.7000], [0.8417, 0.4585, 0.3002], [0.4585, 0.8417, 0.3002], [0.1584, 0.1584, 0.6999], [0.5000, 0.5000, 0.0001], [0.0000, 0.0000, 0.0000], [0.7500, 0.2501, 0.5001], [0.2501, 0.7500, 0.5001]]}


{"formula": "LiTlAs2S", "functional": "PBE-GGA", "state": "optimized geometry", "lattice_angstrom": [[-1.7184, -3.8896, -2.6993], [4.0148, -0.3786, -2.0102], [1.5085, -3.1718, 3.6100]], "species": ["As", "As", "Li", "S", "Tl"], "frac_coords": [[0.0000, 0.0000, 0.5000], [0.5000, 0.0000, 0.0000], [0.0000, 0.5000, 0.0000], [0.0000, 0.0000, 0.0000], [0.5000, 0.5000, 0.5000]], "dos_at_fermi_per_ev_cell": 1.44}


{"formula": "Li2TmAsS4", "functional": "PBE-GGA", "state": "optimized geometry", "lattice_angstrom": [[3.7796, 0.0000, 0.0000], [0.0000, 6.5615, 0.1122], [0.0000, -2.2862, 6.0932]], "species": ["S", "S", "S", "S", "Tm", "As", "Li", "Li"], "frac_coords": [[0.0000, 0.7581, 0.2461], [0.5000, 0.7615, 0.7575], [0.5000, 0.2385, 0.2425], [0.0000, 0.2419, 0.7539], [0.5000, 0.5000, 0.0000], [0.0000, 0.0000, 0.0000], [0.5000, 0.0000, 0.5000], [0.0000, 0.5000, 0.5000]], "dos_at_fermi_per_ev_cell": 0.00}


{"formula": "LiVAsS2", "functional": "PBE-GGA", "state": "optimized geometry", "lattice_angstrom": [[-2.5839, 3.5918, 0.0965], [-2.6316, -2.0084, 4.2873], [2.8787, 1.9983, 2.7031]], "species": ["V", "S", "S", "As", "Li"], "frac_coords": [[0.0000, 0.0000, 0.0000], [0.5000, 0.0000, 0.0000], [0.0000, 0.0000, 0.5000], [0.5000, 0.5000, 0.5000], [0.0000, 0.5000, 0.0000]], "dos_at_fermi_per_ev_cell": 5.59}


{"formula": "LiSbAs3", "functional": "PBE-GGA", "state": "optimized geometry", "lattice_angstrom": [[-4.6485, 0.4181, -0.2385], [-0.2140, -3.8692, -2.6122], [-0.4312, -2.5874, 3.8678]], "species": ["Sb", "As", "As", "As", "Li"], "frac_coords": [[0.5000, 0.5000, 0.5000], [0.0000, 0.0000, 0.5000], [0.5000, 0.0000, 0.0000], [0.0000, 0.5000, 0.0000], [0.0000, 0.0000, 0.0000]], "dos_at_fermi_per_ev_cell": 4.32, "relative_energy_mev_per_atom": 0.0}


{"formula": "Li2SbAs", "functional": "PBE-GGA", "state": "optimized geometry", "lattice_angstrom": [[-0.4724, 1.7173, -3.5427], [-3.3966, -1.9827, -0.5082], [-2.6814, 4.0043, 2.2986]], "species": ["Li", "Li", "As", "Sb"], "frac_coords": [[0.5000, 0.5000, 0.2449], [0.0000, 0.0000, 0.0065], [0.5000, 0.5000, 0.7254], [0.0000, 0.0000, 0.5232]], "dos_at_fermi_per_ev_cell": 1.23, "relative_energy_mev_per_atom": 162.2}


{"formula": "LiSb4As", "functional": "PBE-GGA", "state": "optimized geometry", "lattice_angstrom": [[0.0000, 4.3730, 4.3730], [4.3730, 0.0000, 4.3730], [4.3730, 4.3730, 0.0000]], "species": ["Sb", "Sb", "Sb", "Sb", "Li", "As"], "frac_coords": [[0.3757, 0.3757, 0.3757], [0.3757, 0.8730, 0.3757], [0.8730, 0.3757, 0.3757], [0.3757, 0.3757, 0.8730], [0.0000, 0.0000, 0.0000], [0.7500, 0.7500, 0.7500]], "dos_at_fermi_per_ev_cell": 2.93}


{"formula": "Li2SbAs", "functional": "PBE-GGA", "state": "optimized geometry", "lattice_angstrom": [[4.2818, 0.0000, 0.0000], [0.0000, 4.2698, 0.0000], [0.0000, 0.0000, 4.1716]], "species": ["Li", "Li", "As", "Sb"], "frac_coords": [[0.5000, 0.5000, 0.0000], [0.0000, 0.0000, 0.0000], [0.0000, 0.5000, 0.5000], [0.5000, 0.0000, 0.5000]], "dos_at_fermi_per_ev_cell": 1.23, "relative_energy_mev_per_atom": 5.1}


{"formula": "Li2SbAs2", "functional": "PBE-GGA", "state": "optimized geometry", "lattice_angstrom": [[-1.0693, -2.5884, 3.3129], [-0.7466, -3.2471, -2.7780], [4.0855, -4.4324, 0.6958]], "species": ["Sb", "As", "As", "Li", "Li"], "frac_coords": [[0.0000, 0.0000, 0.0000], [0.3857, 0.3857, 0.2286], [0.6143, 0.6143, 0.7714], [0.7500, 0.2500, 0.5000], [0.2500, 0.7500, 0.5000]], "dos_at_fermi_per_ev_cell": 3.50, "relative_energy_mev_per_atom": 144.3}


{"formula": "Li4Sb2As", "functional": "PBE-GGA", "state": "optimized geometry", "lattice_angstrom": [[-1.4014, -4.3690, -1.2018], [2.2167, -1.7582, 3.8068], [-5.6644, 3.8126, 2.1043]], "species": ["Sb", "Sb", "Li", "Li", "Li", "Li", "As"], "frac_coords": [[0.7523, 0.7523, 0.5045], [0.2477, 0.2477, 0.4955], [0.1078, 0.6078, 0.2157], [0.3922, 0.8922, 0.7843], [0.6078, 0.1078, 0.2157], [0.8922, 0.3922, 0.7843], [0.0000, 0.0000, 0.0000]], "dos_at_fermi_per_ev_cell": 1.46}


{"formula": "LiSbAs2", "functional": "PBE-GGA", "state": "optimized geometry", "lattice_angstrom": [[6.1482, 0.0000, 0.0000], [0.0000, 6.1482, 0.0000], [3.0741, 3.0741, 5.7562]], "species": ["As", "As", "As", "As", "Li", "Li", "Sb", "Sb"], "frac_coords": [[0.8750, 0.8670, 0.7500], [0.3750, 0.3830, 0.7500], [0.6170, 0.1250, 0.2500], [0.1330, 0.6250, 0.2500], [0.5000, 0.5000, 0.0000], [0.2500, 0.7500, 0.5000], [0.0000, 0.0000, 0.0000], [0.7500, 0.2500, 0.5000]], "dos_at_fermi_per_ev_cell": 0.00}


{"formula": "LiSbAs2", "functional": "PBE-GGA", "state": "optimized geometry", "lattice_angstrom": [[3.7405, 0.0000, 0.0000], [0.0000, 2.9338, -0.0030], [0.0000, 0.0099, 7.7628]], "species": ["Sb", "As", "As", "Li"], "frac_coords": [[0.5000, 0.0000, 0.7240], [0.0000, 0.0000, 0.0342], [0.5000, 0.0000, 0.2685], [0.0000, 0.5000, 0.4734]], "dos_at_fermi_per_ev_cell": 0.84}


{"formula": "Li2SbAs2", "functional": "PBE-GGA", "state": "optimized geometry", "lattice_angstrom": [[-2.8872, -7.0281, -2.6911], [5.0999, -3.9468, 4.8359], [-2.0417, 0.0109, 2.1620]], "species": ["As", "As", "As", "As", "Li", "Li", "Li", "Li", "Sb", "Sb"], "frac_coords": [[0.8220, 0.6780, 0.0000], [0.6780, 0.1780, 0.0000], [0.3220, 0.8220, 0.0000], [0.1780, 0.3220, 0.0000], [0.8797, 0.3797, 0.5000], [0.6203, 0.8797, 0.5000], [0.1203, 0.6203, 0.5000], [0.3797, 0.1203, 0.5000], [0.0000, 0.0000, 0.0000], [0.5000, 0.5000, 0.0000]], "dos_at_fermi_per_ev_cell": 4.38, "relative_energy_mev_per_atom": 0.0}


{"formula": "Li3SbAs2", "functional": "PBE-GGA", "state": "optimized geometry", "lattice_angstrom": [[11.6796, -0.0914, -4.4162], [0.4781, 6.1444, 1.0221], [-1.6203, 1.1402, 7.3798]], "species": ["Li", "Li", "Li", "Li", "Li", "Li", "Li", "Li", "Li", "Li", "Li", "Li", "As", "As", "As", "As", "As", "As", "As", "As", "Sb", "Sb", "Sb", "Sb"], "frac_coords": [[0.7032, 0.0643, 0.8822], [0.0128, 0.2114, 0.5617], [0.5127, 0.2113, 0.0619], [0.3245, 0.4163, 0.1391], [0.6755, 0.5837, 0.8609], [0.2968, 0.9357, 0.1178], [0.4873, 0.7887, 0.9381], [0.7967, 0.9355, 0.6180], [0.2033, 0.0645, 0.3820], [0.8245, 0.4160, 0.6390], [0.9872, 0.7886, 0.4383], [0.1755, 0.5840, 0.3610], [0.2525, 0.2948, 0.7701], [0.9154, 0.7200, 0.0622], [0.4154, 0.7202, 0.5620], [0.0846, 0.2800, 0.9378], [0.5846, 0.2798, 0.4380], [0.7475, 0.7052, 0.2299], [0.7526, 0.2942, 0.2700], [0.2474, 0.7058, 0.7300], [0.5739, 0.7388, 0.3887], [0.9262, 0.2610, 0.1112], [0.0738, 0.7390, 0.8888], [0.4261, 0.2612, 0.6113]], "dos_at_fermi_per_ev_cell": 4.10}


{"formula": "LiSb3As", "functional": "PBE-GGA", "state": "optimized geometry", "lattice_angstrom": [[-3.8349, 2.6313, 1.7724], [-2.8622, -1.6700, -3.7135], [-1.3686, -3.8806, 2.7999]], "species": ["Sb", "Sb", "Sb", "As", "Li"], "frac_coords": [[0.5000, 0.0000, 0.0000], [0.0000, 0.5000, 0.0000], [0.0000, 0.0000, 0.5000], [0.5000, 0.5000, 0.5000], [0.0000, 0.0000, 0.0000]], "dos_at_fermi_per_ev_cell": 4.13, "relative_energy_mev_per_atom": 19.8}


{"formula": "LiSbAs2", "functional": "PBE-GGA", "state": "optimized geometry", "lattice_angstrom": [[-0.3337, 6.3068, 7.1093], [-2.9374, 4.6453, 7.7604], [-0.1261, 3.6396, 8.7845]], "species": ["As", "As", "Li", "Sb"], "frac_coords": [[0.9905, 0.9905, 0.9905], [0.5095, 0.5095, 0.5095], [0.2500, 0.2500, 0.2500], [0.7500, 0.7500, 0.7500]], "dos_at_fermi_per_ev_cell": 1.46}


{"formula": "LiSbAs2", "functional": "PBE-GGA", "state": "optimized geometry", "lattice_angstrom": [[-0.0258, -1.7227, -3.6531], [2.7360, -1.1020, 0.5003], [-2.8341, -5.7891, 2.7499]], "species": ["As", "As", "Li", "Sb"], "frac_coords": [[0.0000, 0.7498, 0.0563], [0.0000, 0.7502, 0.4437], [0.5000, 0.2500, 0.2500], [0.5000, 0.7500, 0.7500]], "dos_at_fermi_per_ev_cell": 1.72}


{"formula": "Li2SbAs", "functional": "PBE-GGA", "state": "optimized geometry", "lattice_angstrom": [[-0.2593, -3.2414, -2.4029], [2.5579, -1.1071, 1.2175], [-0.6619, -4.0442, 5.5270]], "species": ["As", "Li", "Li", "Sb"], "frac_coords": [[0.5000, 0.7500, 0.7500], [0.0000, 0.4646, 0.5301], [0.0000, 0.0354, 0.9699], [0.5000, 0.2500, 0.2500]], "dos_at_fermi_per_ev_cell": 0.71, "relative_energy_mev_per_atom": 0.0}


{"formula": "Li6SbAs2", "functional": "PBE-GGA", "state": "optimized geometry", "lattice_angstrom": [[-2.0527, -0.6451, -2.1410], [0.9814, -7.3768, 1.2817], [-5.2328, 3.8395, 3.8600]], "species": ["As", "As", "Sb", "Li", "Li", "Li", "Li", "Li", "Li"], "frac_coords": [[0.0000, 0.3333, 0.6667], [0.0000, 0.6667, 0.3333], [0.0000, 0.0000, 0.0000], [0.5000, 0.0000, 0.3402], [0.5000, 0.6598, 0.0000], [0.5000, 0.6598, 0.6598], [0.5000, 0.3402, 0.3402], [0.5000, 0.0000, 0.6598], [0.5000, 0.3402, 0.0000]], "dos_at_fermi_per_ev_cell": 2.44}


{"formula": "LiSbAs2", "functional": "PBE-GGA", "state": "optimized geometry", "lattice_angstrom": [[-0.0962, -2.2313, 1.9690], [2.9695, 0.1927, 0.1009], [-0.6179, 5.9858, 6.7529]], "species": ["Li", "Sb", "As", "As"], "frac_coords": [[0.5000, 0.5000, 0.2500], [0.5000, 0.5000, 0.7500], [0.0000, 0.0000, 0.0491], [0.0000, 0.0000, 0.4509]], "dos_at_fermi_per_ev_cell": 1.12}


{"formula": "Li2SbAs", "functional": "PBE-GGA", "state": "optimized geometry", "lattice_angstrom": [[-2.8173, -3.5261, 1.4511], [-4.0627, -0.8794, -2.2799], [-0.4408, -3.9182, -2.6324]], "species": ["Li", "Li", "Sb", "As"], "frac_coords": [[0.2500, 0.2500, 0.2500], [0.7500, 0.7500, 0.7500], [0.5000, 0.5000, 0.5000], [0.0000, 0.0000, 0.0000]], "dos_at_fermi_per_ev_cell": 1.38, "relative_energy_mev_per_atom": 87.8}


{"formula": "Li2Sb2As", "functional": "PBE-GGA", "state": "optimized geometry", "lattice_angstrom": [[-4.6917, 6.3141, -2.6099], [-0.8755, -3.6956, -7.3667], [-2.5585, -1.4705, 1.0417]], "species": ["Sb", "Sb", "Sb", "Sb", "Li", "Li", "Li", "Li", "As", "As"], "frac_coords": [[0.8150, 0.6850, 0.0000], [0.1850, 0.3150, 0.0000], [0.3150, 0.8150, 0.0000], [0.6850, 0.1850, 0.0000], [0.6146, 0.8854, 0.5000], [0.1146, 0.6146, 0.5000], [0.3854, 0.1146, 0.5000], [0.8854, 0.3854, 0.5000], [0.0000, 0.0000, 0.0000], [0.5000, 0.5000, 0.0000]], "dos_at_fermi_per_ev_cell": 4.16, "relative_energy_mev_per_atom": 0.0}


{"formula": "Li2SbAs", "functional": "PBE-GGA", "state": "optimized geometry", "lattice_angstrom": [[-0.5249, -2.4685, -4.1996], [3.9561, -1.4943, -2.4742], [1.1115, -4.7679, -0.1945]], "species": ["Li", "Li", "As", "Sb"], "frac_coords": [[0.0000, 0.0000, 0.0000], [0.2500, 0.2500, 0.2500], [0.5000, 0.5000, 0.5000], [0.7500, 0.7500, 0.7500]], "dos_at_fermi_per_ev_cell": 2.24, "relative_energy_mev_per_atom": 256.1}


{"formula": "LiSbAs2", "functional": "PBE-GGA", "state": "optimized geometry", "lattice_angstrom": [[-1.4002, -4.9332, 2.6379], [2.8255, -4.4738, 2.2927], [0.2580, 0.6679, 4.0475]], "species": ["As", "As", "Sb", "Li"], "frac_coords": [[0.7737, 0.7737, 0.8078], [0.9907, 0.9907, 0.9134], [0.2271, 0.2271, 0.4006], [0.5085, 0.5085, 0.3782]], "dos_at_fermi_per_ev_cell": 0.32}


{"formula": "Li2SbAs", "functional": "PBE-GGA", "state": "optimized geometry", "lattice_angstrom": [[-0.7235, -4.8037, -4.8815], [4.6065, 1.8029, 1.3445], [0.8480, -2.8769, 0.5923]], "species": ["Li", "Li", "Sb", "As"], "frac_coords": [[0.0000, 0.0000, 0.0000], [0.5000, 0.0000, 0.5000], [0.0000, 0.5000, 0.5000], [0.5000, 0.5000, 0.0000]], "dos_at_fermi_per_ev_cell": 1.06, "relative_energy_mev_per_atom": 17.0}


Number 1: raw total energy -31.2 eV/f.u., raw formation energy -0.42 eV per atom. Number 2: raw total energy -32.5 eV/f.u., raw formation energy -0.64 eV per atom. Number 3: raw total energy -17.6 eV/f.u., raw formation energy 0.03 eV per atom. Number 4: raw total energy -39.0 eV/f.u., raw formation energy -1.20 eV per atom. Number 5: raw total energy -22.6 eV/f.u., raw formation energy 0.28 eV per atom. Number 6: raw total energy -17.6 eV/f.u., raw formation energy 0.47 eV per atom. Number 7: raw total energy -13.7 eV/f.u., raw formation energy -0.27 eV per atom. Number 8: raw total energy -21.2 eV/f.u., raw formation energy 0.31 eV per atom. Number 9: raw total energy -14.3 eV/f.u., raw formation energy -0.43 eV per atom. Number 10: raw total energy -18.1 eV/f.u., raw formation energy -0.17 eV per atom. Number 11: raw total energy -23.8 eV/f.u., raw formation energy -0.47 eV per atom. Number 12: raw total energy -15.7 eV/f.u., raw formation energy -0.10 eV per atom. Number 13: raw total energy -15.8 eV/f.u., raw formation energy -0.10 eV per atom. Number 14: raw total energy -18.8 eV/f.u., raw formation energy -0.32 eV per atom. Number 15: raw total energy -21.7 eV/f.u., raw formation energy -0.42 eV per atom. Number 16: raw total energy -16.5 eV/f.u., raw formation energy 0.49 eV per atom. Number 17: raw total energy -15.0 eV/f.u., raw formation energy 0.10 eV per atom. Number 18: raw total energy -15.9 eV/f.u., raw formation energy -0.14 eV per atom. Number 19: raw total energy -14.3 eV/f.u., raw formation energy -0.43 eV per atom. Number 20: raw total energy -29.4 eV/f.u., raw formation energy -0.50 eV per atom. Number 21: raw total energy -15.2 eV/f.u., raw formation energy 0.02 eV per atom. Number 22: raw total energy -14.0 eV/f.u., raw formation energy -0.34 eV per atom. Number 23: raw total energy -17.8 eV/f.u., raw formation energy -0.21 eV per atom. Number 24: raw total energy -13.3 eV/f.u., raw formation energy -0.17 eV per atom. Number 25: raw total energy -15.8 eV/f.u., raw formation energy -0.12 eV per atom. Number 26: raw total energy -14.3 eV/f.u., raw formation energy -0.41 eV per atom.